1.
Density functional theory data (PBE-GGA) for a relaxed Nd4Y5Ho2 crystal.

The structure in POSCAR format:
```
Nd4Y5Ho2
1.0
11.987 -1.762 0.000
11.987 1.762 0.000
-1.386 0.000 8.886
Nd Y Ho
4 5 2
direct
0.027 0.027 0.188
0.370 0.370 0.964
0.630 0.630 0.036
0.973 0.973 0.812
0.176 0.176 0.402
0.232 0.232 0.824
0.500 0.500 0.500
0.768 0.768 0.176
0.824 0.824 0.598
0.101 0.101 0.700
0.899 0.899 0.300
```

Results
size of the total moment = 0.0 μB per formula unit
SG = No. 12
formation energy from the elements = 0.22 eV per atom
calculated total energy = -5.288 eV per atom
polymorph energy (0 for the lowest one) = 115 meV/atom


2.
Density functional theory data (PBE-GGA) for a relaxed Mg3VP crystal.

The structure in POSCAR format:
```
Mg3VP
1.0
4.896 0.000 0.000
0.000 4.896 0.000
0.000 0.000 4.896
Mg V P
3 1 1
direct
0.000 0.000 0.500
0.000 0.500 0.000
0.500 0.000 0.000
0.500 0.500 0.500
0.000 0.000 0.000
```

Results
size of the total moment = 3.9 μB per formula unit
SG = No. 221
formation energy from the elements = 0.45 eV per atom
calculated total energy = -3.417 eV per atom
polymorph energy (0 for the lowest one) = 0 meV/atom


3.
Density functional theory data (PBE-GGA) for a relaxed InCoH3 crystal.

The structure in POSCAR format:
```
InCoH3
1.0
3.851 0.000 0.000
0.000 3.851 0.000
0.000 0.000 3.851
In Co H
1 1 3
direct
0.000 0.000 0.000
0.500 0.500 0.500
0.000 0.000 0.500
0.000 0.500 0.000
0.500 0.000 0.000
```

Results
size of the total moment = 2.2 μB per formula unit
SG = No. 221
calculated total energy = -2.942 eV per atom


4.
Density functional theory data (PBE-GGA) for a relaxed La4Pr6Sm crystal.

The structure in POSCAR format:
```
La4Pr6Sm
1.0
-3.429 3.429 8.548
3.429 -3.429 8.548
3.429 3.429 -8.548
La Pr Sm
4 6 1
direct
0.218 0.218 0.678
0.461 0.782 0.000
0.539 0.539 0.322
0.782 0.461 0.000
0.000 0.500 0.500
0.003 0.634 0.000
0.366 0.366 0.369
0.500 0.000 0.500
0.634 0.003 0.000
0.997 0.997 0.631
0.000 0.000 0.000
```

Results
size of the total moment = 0.0 μB per formula unit
SG = No. 121
formation energy from the elements = 0.24 eV per atom
calculated total energy = -4.588 eV per atom
polymorph energy (0 for the lowest one) = 0 meV/atom


5.
Density functional theory data (PBE-GGA) for a relaxed Y2TiAl2Ni5 crystal.

The structure in POSCAR format:
```
Y2TiAl2Ni5
1.0
9.847 0.000 0.000
0.000 9.847 0.000
0.000 0.000 3.230
Y Ti Al Ni
4 2 4 10
direct
0.175 0.325 0.000
0.325 0.825 0.000
0.675 0.175 0.000
0.825 0.675 0.000
0.000 0.000 0.000
0.500 0.500 0.000
0.125 0.625 0.000
0.375 0.125 0.000
0.625 0.875 0.000
0.875 0.375 0.000
0.000 0.500 0.500
0.052 0.804 0.500
0.196 0.052 0.500
0.304 0.552 0.500
0.448 0.304 0.500
0.500 0.000 0.500
0.552 0.696 0.500
0.696 0.448 0.500
0.804 0.948 0.500
0.948 0.196 0.500
```

Results
size of the total moment = 0.0 μB per formula unit
SG = No. 127
formation energy from the elements = -0.41 eV per atom
calculated total energy = -6.127 eV per atom


6.
Density functional theory data (PBE-GGA) for a relaxed NbFe2NiH crystal.

The structure in POSCAR format:
```
NbFe2NiH
1.0
3.659 0.000 0.000
0.000 3.659 0.000
0.000 0.000 3.919
Nb Fe Ni H
1 2 1 1
direct
0.000 0.000 0.000
0.000 0.500 0.500
0.500 0.000 0.500
0.500 0.500 0.000
0.000 0.000 0.500
```

Results
size of the total moment = 2.0 μB per formula unit
SG = No. 123
calculated total energy = -7.276 eV per atom
polymorph energy (0 for the lowest one) = 28 meV/atom


7.
Density functional theory data (PBE-GGA) for a relaxed SrVBr4 crystal.

The structure in POSCAR format:
```
SrVBr4
1.0
6.916 -2.072 0.000
6.916 2.072 0.000
-1.564 0.000 7.140
Sr V Br
1 1 4
direct
0.000 0.000 0.000
0.500 0.500 0.500
0.108 0.108 0.411
0.381 0.381 0.160
0.619 0.619 0.840
0.892 0.892 0.589
```

Results
size of the total moment = 3.0 μB per formula unit
SG = No. 12
calculated total energy = -4.327 eV per atom
raw formation energy = -1411 meV per atom


8.
Density functional theory data (PBE-GGA) for a relaxed YAl7 crystal.

The structure in POSCAR format:
```
YAl7
1.0
0.000 4.180 4.180
4.180 0.000 4.180
4.180 4.180 0.000
Y Al
1 7
direct
0.000 0.000 0.000
0.000 0.000 0.500
0.000 0.500 0.000
0.000 0.500 0.500
0.500 0.000 0.000
0.500 0.000 0.500
0.500 0.500 0.000
0.500 0.500 0.500
```

Results
size of the total moment = 0.0 μB per formula unit
SG = No. 225
formation energy from the elements = -0.14 eV per atom
calculated total energy = -4.218 eV per atom


9.
Density functional theory data (PBE-GGA) for a relaxed KBPt3 crystal.

The structure in POSCAR format:
```
KBPt3
1.0
0.000 5.807 5.807
5.807 0.000 5.807
5.807 5.807 0.000
K B Pt
4 4 12
direct
0.000 0.000 0.000
0.000 0.000 0.500
0.000 0.500 0.000
0.500 0.000 0.000
0.000 0.500 0.500
0.500 0.000 0.500
0.500 0.500 0.000
0.500 0.500 0.500
0.197 0.197 0.553
0.197 0.553 0.197
0.197 0.553 0.553
0.447 0.447 0.803
0.447 0.803 0.447
0.447 0.803 0.803
0.553 0.197 0.197
0.553 0.197 0.553
0.553 0.553 0.197
0.803 0.447 0.447
0.803 0.447 0.803
0.803 0.803 0.447
```

Results
size of the total moment = 0.0 μB per formula unit
SG = No. 227
formation energy from the elements = -0.03 eV per atom
calculated total energy = -5.209 eV per atom


10.
Density functional theory data (PBE-GGA) for a relaxed Cd4Ga3Ag2 crystal.

The structure in POSCAR format:
```
Cd4Ga3Ag2
1.0
5.526 -6.285 0.000
5.526 6.285 0.000
-0.800 0.000 5.299
Cd Ga Ag
8 6 4
direct
0.123 0.677 0.939
0.167 0.513 0.421
0.323 0.877 0.561
0.487 0.833 0.079
0.513 0.167 0.921
0.677 0.123 0.439
0.833 0.487 0.579
0.877 0.323 0.061
0.024 0.161 0.569
0.161 0.024 0.069
0.471 0.529 0.750
0.529 0.471 0.250
0.839 0.976 0.931
0.976 0.839 0.431
0.227 0.344 0.948
0.344 0.227 0.448
0.656 0.773 0.552
0.773 0.656 0.052
```

Results
size of the total moment = 0.0 μB per formula unit
SG = No. 15
formation energy from the elements = 0.03 eV per atom
calculated total energy = -2.022 eV per atom


11.
Density functional theory data (PBE-GGA) for a relaxed AlZn2Cd2 crystal.

The structure in POSCAR format:
```
AlZn2Cd2
1.0
6.764 0.000 0.000
0.000 6.764 0.000
0.000 0.000 4.276
Al Zn Cd
2 4 4
direct
0.000 0.000 0.000
0.500 0.500 0.000
0.135 0.365 0.000
0.365 0.865 0.000
0.635 0.135 0.000
0.865 0.635 0.000
0.169 0.669 0.500
0.331 0.169 0.500
0.669 0.831 0.500
0.831 0.331 0.500
```

Results
size of the total moment = 0.0 μB per formula unit
SG = No. 127
formation energy from the elements = 0.13 eV per atom
calculated total energy = -1.490 eV per atom
polymorph energy (0 for the lowest one) = 0 meV/atom


12.
Density functional theory data (PBE-GGA) for a relaxed Ba4Cd5 crystal.

The structure in POSCAR format:
```
Ba4Cd5
1.0
-5.541 5.541 2.820
5.541 -5.541 2.820
5.541 5.541 -2.820
Ba Cd
4 5
direct
0.000 0.299 0.299
0.000 0.701 0.701
0.299 0.000 0.299
0.701 0.000 0.701
0.000 0.000 0.000
0.359 0.359 0.719
0.359 0.641 0.000
0.641 0.359 0.000
0.641 0.641 0.281
```

Results
size of the total moment = 0.0 μB per formula unit
SG = No. 139
formation energy from the elements = -0.17 eV per atom
calculated total energy = -1.537 eV per atom